Entry 1:
VASP calculation (PBE) on an optimized crystal structure of AlCuO3.

Its crystal system is hexagonal. The uncorrected formation energy comes out at -1521 meV per atom. As for the density: 4.722 g cm⁻³. Its density of states at the Fermi level is 1.5 states/eV/f.u.

The space group is P6_3/mmc (No. 194) and the conventional cell measures 3.1559, 3.1559 and 11.2944 Å, with angles of 90.00, 90.00 and 120.00 degrees. The asymmetric unit holds Al at (0.0000, 0.0000, 0.0000), Cu at (0.3333, 0.6667, 0.2500), O at (0.0000, 0.0000, 0.2500) and O at (0.3333, 0.6667, 0.0765).

Entry 2:
VASP calculation (PBE) on an optimized crystal structure of AlCuO2.

Its crystal system is tetragonal. The uncorrected formation energy comes out at -1886 meV per atom. As for the density: 4.528 g cm⁻³. Its density of states at the Fermi level is 2.3 states/eV/f.u.

The space group is I-42d (No. 122) and the conventional cell measures 4.586, 4.586 and 8.544 Å, with angles of 90.00, 90.00 and 90.00 degrees. The asymmetric unit holds Al at (0.000, 0.000, 0.000), Cu at (0.000, 0.000, 0.500) and O at (0.185, 0.250, 0.125).

Entry 3:
VASP calculation (PBE) on an optimized crystal structure of AlCu3O.

Its crystal system is cubic. The uncorrected formation energy comes out at 21 meV per atom. As for the density: 5.895 g cm⁻³. The calculation puts the energy relative to the lowest polymorph listed for this composition at 0.000 eV per atom. Its density of states at the Fermi level is 1.8 states/eV/f.u.

The space group is Pm-3m (No. 221) and the conventional cell measures 4.037, 4.037 and 4.037 Å, with angles of 90.00, 90.00 and 90.00 degrees. The asymmetric unit holds Al at (0.000, 0.000, 0.000), Cu at (0.000, 0.500, 0.500) and O at (0.500, 0.500, 0.500).